Model w:
Material: Pa2Pt2O5
Method: DFT, PBE
State: optimized geometry

Results
The calculation puts the mass density at 10.73 g/cm³. The space group is P4/mmm. As for the total magnetization: 0.1372 μB per atom.

Lattice parameters (Å, degrees): 8.8302 4.0430 4.0430 90.00 90.00 90.00
Site moments in Bohr magnetons follow the coordinates.
Atoms (fractional coordinates):
O (0.5000, 0.5000, 0.5000)  -0.01
O (0.1671, 0.5000, 0.0000)  0.06
O (0.8329, 0.5000, 0.0000)  0.06
O (0.1671, 0.0000, 0.5000)  0.08
O (0.8329, 0.0000, 0.5000)  0.08
Pt (0.5000, 0.0000, 0.0000)  -0.03
Pt (0.0000, 0.0000, 0.0000)  0.96
Pa (0.7381, 0.5000, 0.5000)  0.00
Pa (0.2619, 0.5000, 0.5000)  0.00



Model x:
Material: Pa2Pt2O5
Method: DFT, PBE
State: optimized geometry

Results
The calculation puts the mass density at 13.16 g/cm³. The space group is P4/mmm. As for the total magnetization: 0.2274 μB per atom.

Lattice parameters (Å, degrees): 7.1287 4.0627 4.0627 90.00 90.00 90.00
Site moments in Bohr magnetons follow the coordinates.
Atoms (fractional coordinates):
O (0.7334, 0.5000, 0.0000)  -0.02
O (0.7334, 0.0000, 0.5000)  -0.01
O (0.5000, 0.5000, 0.5000)  -0.01
O (0.2666, 0.5000, 0.0000)  -0.02
O (0.2666, 0.0000, 0.5000)  -0.01
Pa (0.0000, 0.0000, 0.0000)  1.06
Pa (0.5000, 0.0000, 0.0000)  1.04
Pt (0.1853, 0.5000, 0.5000)  -0.02
Pt (0.8146, 0.5000, 0.5000)  -0.02



Energetically preferred structure: model w | next structure: +25.7 kJ/mol of atoms



Model w:
Material: Pa2Si2O5
Method: DFT, PBE
State: optimized geometry

Results
The calculation puts the mass density at 9.01 g/cm³. The space group is P4/mmm. As for the total magnetization: 0.4082 μB per atom.

Lattice parameters (Å, degrees): 8.9406 3.5118 3.5118 90.00 90.00 90.00
Site moments in Bohr magnetons follow the coordinates.
Atoms (fractional coordinates):
Si (0.7676, 0.5000, 0.5000)  -0.01
Si (0.2324, 0.5000, 0.5000)  -0.01
O (0.2842, 0.0000, 0.5000)  -0.01
O (0.7158, 0.0000, 0.5000)  -0.01
O (0.7158, 0.5000, 0.0000)  -0.01
O (0.2842, 0.5000, 0.0000)  -0.01
O (0.5000, 0.5000, 0.5000)  -0.03
Pa (0.0000, 0.0000, 0.0000)  2.04
Pa (0.5000, 0.0000, 0.0000)  1.32



Model x:
Material: Pa2Si2O5
Method: DFT, PBE
State: optimized geometry

Results
The calculation puts the mass density at 6.86 g/cm³. The space group is P4/mmm. As for the total magnetization: 0.1266 μB per atom.

Lattice parameters (Å, degrees): 8.3892 4.1560 4.1560 90.00 90.00 90.00
Site moments in Bohr magnetons follow the coordinates.
Atoms (fractional coordinates):
Pa (0.2423, 0.5000, 0.5000)  0.07
Pa (0.7577, 0.5000, 0.5000)  0.07
Si (0.0000, 0.0000, 0.0000)  0.24
Si (0.5000, 0.0000, 0.0000)  0.02
O (0.6887, 0.5000, 0.0000)  0.02
O (0.3113, 0.5000, 0.0000)  0.02
O (0.6887, 0.0000, 0.5000)  0.02
O (0.5000, 0.5000, 0.5000)  0.00
O (0.3113, 0.0000, 0.5000)  0.02



Energetically preferred structure: model w | next structure: +19.0 kJ/mol of atoms



Model w:
Material: Sr2Pa2O5
Method: DFT, PBE
State: optimized geometry

Results
The calculation puts the mass density at 6.78 g/cm³. The space group is P4/mmm. As for the total magnetization: 0.1853 μB per atom.

Lattice parameters (Å, degrees): 8.7638 4.4763 4.4763 90.00 90.00 90.00
Site moments in Bohr magnetons follow the coordinates.
Atoms (fractional coordinates):
Pa (0.7526, 0.5000, 0.5000)  1.01
Pa (0.2474, 0.5000, 0.5000)  1.01
O (0.2711, 0.0000, 0.5000)  -0.03
O (0.7289, 0.5000, 0.0000)  -0.03
O (0.7289, 0.0000, 0.5000)  -0.03
O (0.5000, 0.5000, 0.5000)  -0.03
O (0.2711, 0.5000, 0.0000)  -0.03
Sr (0.5000, 0.0000, 0.0000)  0.01
Sr (0.0000, 0.0000, 0.0000)  0.03



Model x:
Material: Sr2Pa2O5
Method: DFT, PBE
State: optimized geometry

Results
The calculation puts the mass density at 7.53 g/cm³. The space group is P4/mmm. As for the total magnetization: 0.1550 μB per atom.

Lattice parameters (Å, degrees): 11.0089 3.7916 3.7916 90.00 90.00 90.00
Site moments in Bohr magnetons follow the coordinates.
Atoms (fractional coordinates):
Sr (0.7595, 0.5000, 0.5000)  0.01
Sr (0.2405, 0.5000, 0.5000)  0.01
O (0.8824, 0.5000, 0.0000)  0.00
O (0.8824, 0.0000, 0.5000)  0.00
O (0.1176, 0.5000, 0.0000)  0.00
O (0.5000, 0.5000, 0.5000)  -0.02
O (0.1176, 0.0000, 0.5000)  0.00
Pa (0.0000, 0.0000, 0.0000)  0.00
Pa (0.5000, 0.0000, 0.0000)  1.20



Energetically preferred structure: model w | next structure: +25.3 kJ/mol of atoms



Model w:
Material: Pa2Te2O5
Method: DFT, PBE
State: optimized geometry

Results
The calculation puts the mass density at 9.93 g/cm³. The space group is P4/mmm. As for the total magnetization: 0.3505 μB per atom.

Lattice parameters (Å, degrees): 7.5423 4.2052 4.2052 90.00 90.00 90.00
Site moments in Bohr magnetons follow the coordinates.
Atoms (fractional coordinates):
Pa (0.5000, 0.0000, 0.0000)  1.06
Pa (0.0000, 0.0000, 0.0000)  1.82
Te (0.8073, 0.5000, 0.5000)  0.02
Te (0.1927, 0.5000, 0.5000)  0.02
O (0.2990, 0.5000, 0.0000)  0.01
O (0.7010, 0.0000, 0.5000)  0.01
O (0.7010, 0.5000, 0.0000)  0.01
O (0.5000, 0.5000, 0.5000)  0.01
O (0.2990, 0.0000, 0.5000)  0.01



Model x:
Material: Pa2Te2O5
Method: DFT, PBE
State: optimized geometry

Results
The calculation puts the mass density at 8.25 g/cm³. The space group is P4/mmm. As for the total magnetization: 0.2214 μB per atom.

Lattice parameters (Å, degrees): 8.8922 4.2474 4.2474 90.00 90.00 90.00
Site moments in Bohr magnetons follow the coordinates.
Atoms (fractional coordinates):
O (0.7076, 0.0000, 0.5000)  0.06
O (0.2924, 0.0000, 0.5000)  0.06
O (0.7076, 0.5000, 0.0000)  0.08
O (0.2924, 0.5000, 0.0000)  0.09
O (0.5000, 0.5000, 0.5000)  0.04
Pa (0.7531, 0.5000, 0.5000)  0.04
Pa (0.2469, 0.5000, 0.5000)  0.04
Te (0.0000, 0.0000, 0.0000)  -0.01
Te (0.5000, 0.0000, 0.0000)  0.94



Energetically preferred structure: model x | next structure: +78.7 kJ/mol of atoms



Model w:
Material: Zr2Pa2O5
Method: DFT, PBE
State: optimized geometry

Results
The calculation puts the mass density at 9.27 g/cm³. The space group is P4/mmm. As for the total magnetization: 0.4269 μB per atom.

Lattice parameters (Å, degrees): 7.4088 4.1857 4.1857 90.00 90.00 90.00
Site moments in Bohr magnetons follow the coordinates.
Atoms (fractional coordinates):
O (0.5000, 0.5000, 0.5000)  0.00
O (0.7462, 0.5000, 0.0000)  -0.01
O (0.2538, 0.0000, 0.5000)  0.00
O (0.2538, 0.5000, 0.0000)  -0.01
O (0.7462, 0.0000, 0.5000)  0.00
Pa (0.5000, 0.0000, 0.0000)  1.96
Pa (0.0000, 0.0000, 0.0000)  1.28
Zr (0.7888, 0.5000, 0.5000)  0.13
Zr (0.2112, 0.5000, 0.5000)  0.13



Model x:
Material: Zr2Pa2O5
Method: DFT, PBE
State: optimized geometry

Results
The calculation puts the mass density at 8.56 g/cm³. The space group is P4/mmm. As for the total magnetization: 0.4225 μB per atom.

Lattice parameters (Å, degrees): 9.3588 3.8754 3.8754 90.00 90.00 90.00
Site moments in Bohr magnetons follow the coordinates.
Atoms (fractional coordinates):
O (0.6575, 0.5000, 0.0000)  0.02
O (0.3425, 0.5000, 0.0000)  0.02
O (0.5000, 0.5000, 0.5000)  0.00
O (0.6575, 0.0000, 0.5000)  0.00
O (0.3425, 0.0000, 0.5000)  0.00
Zr (0.0000, 0.0000, 0.0000)  1.04
Zr (0.5000, 0.0000, 0.0000)  0.09
Pa (0.2338, 0.5000, 0.5000)  0.62
Pa (0.7662, 0.5000, 0.5000)  0.62



Energetically preferred structure: model w | next structure: +41.0 kJ/mol of atoms



Model w:
Material: Pd2PbO4
Method: DFT, PBE
State: optimized geometry

Results
The calculation puts the mass density at 9.23 g/cm³. The space group is I4_1/a.

Lattice parameters (Å, degrees): 6.5480 6.5480 6.5480 126.84 126.84 78.52
Atoms (fractional coordinates):
Pb (0.5000, 0.5000, 0.0000)
Pb (0.2500, 0.7500, 0.5000)
O (0.5414, 0.8974, 0.0366)
O (0.4952, 0.4586, 0.3560)
O (0.2086, 0.3526, 0.4634)
O (0.8608, 0.5048, 0.9634)
O (0.6474, 0.1108, 0.8560)
O (0.8892, 0.7452, 0.5366)
O (0.1026, 0.1392, 0.6440)
O (0.2548, 0.7914, 0.1440)
Pd (0.8750, 0.1250, 0.7500)
Pd (0.8750, 0.6250, 0.7500)
Pd (0.3750, 0.1250, 0.2500)
Pd (0.8750, 0.1250, 0.2500)



Model x:
Material: Pd2PbO4
Method: DFT, PBE
State: optimized geometry

Results
The calculation puts the mass density at 9.35 g/cm³. The space group is I4_1/a.

Lattice parameters (Å, degrees): 6.5137 6.5137 6.5137 126.70 126.70 78.74
Atoms (fractional coordinates):
O (0.3902, 0.2447, 0.5351)
O (0.3598, 0.0053, 0.9649)
O (0.1449, 0.6098, 0.8545)
O (0.9947, 0.9596, 0.3545)
O (0.7096, 0.8551, 0.4649)
O (0.7553, 0.2904, 0.1455)
O (0.6051, 0.6402, 0.6455)
O (0.0404, 0.3949, 0.0351)
Pd (0.3750, 0.1250, 0.7500)
Pd (0.8750, 0.6250, 0.2500)
Pd (0.3750, 0.6250, 0.2500)
Pd (0.3750, 0.6250, 0.7500)
Pb (0.7500, 0.2500, 0.5000)
Pb (0.0000, 0.0000, 0.0000)



Model y:
Material: Pd2PbO4
Method: DFT, PBE
State: optimized geometry

Results
The calculation puts the mass density at 8.18 g/cm³. The space group is Fd-3m.

Lattice parameters (Å, degrees): 6.5255 6.5255 6.5255 119.97 90.04 119.97
Atoms (fractional coordinates):
Pb (0.0000, 0.0000, 0.0000)
Pb (0.7500, 0.5000, 0.2500)
Pd (0.8750, 0.2500, 0.6250)
Pd (0.3750, 0.7500, 0.1250)
Pd (0.3750, 0.2500, 0.6250)
Pd (0.3750, 0.7500, 0.6250)
O (0.1459, 0.7080, 0.8539)
O (0.1461, 0.2920, 0.8541)
O (0.5622, 0.7080, 0.8541)
O (0.1459, 0.2920, 0.4378)
O (0.6041, 0.2080, 0.8122)
O (0.6041, 0.7920, 0.3961)
O (0.1878, 0.7920, 0.3959)
O (0.6039, 0.2080, 0.3959)



Energetically preferred structure: model w | next structure: +0.5 kJ/mol of atoms